P | Below is a geometry-optimized Ba2AgPd structure, with properties calculated at the PBE level.

a = 8.0184 Å, b = 8.0184 Å, c = 8.0184 Å
α = 90.00°, β = 90.00°, γ = 90.00°
Fractional positions:
Ba1 0.2500 0.2500 0.2500
Ba2 0.2500 0.2500 0.7500
Ba3 0.2500 0.7500 0.2500
Ba4 0.2500 0.7500 0.7500
Ba5 0.7500 0.2500 0.2500
Ba6 0.7500 0.2500 0.7500
Ba7 0.7500 0.7500 0.2500
Ba8 0.7500 0.7500 0.7500
Ag1 0.0000 0.0000 0.0000
Ag2 0.0000 0.5000 0.5000
Ag3 0.5000 0.0000 0.5000
Ag4 0.5000 0.5000 0.0000
Pd1 0.0000 0.0000 0.5000
Pd2 0.0000 0.5000 0.0000
Pd3 0.5000 0.0000 0.0000
Pd4 0.5000 0.5000 0.5000

* M_tot: 0.00 μB/f.u.
* volume: 515.5 Å³ per cell
* SG: Fm-3m

Q | Below is a geometry-optimized Ba2AgPd structure, with properties calculated at the PBE level.

a = 4.6275 Å, b = 4.6275 Å, c = 24.6419 Å
α = 90.00°, β = 90.00°, γ = 120.00°
Fractional positions:
Ba1 0.0000 0.0000 0.0000
Ba2 0.0000 0.0000 0.1863
Ba3 0.3333 0.6667 0.6667
Ba4 0.3333 0.6667 0.8530
Ba5 0.6667 0.3333 0.3333
Ba6 0.6667 0.3333 0.5196
Ag1 0.0000 0.0000 0.7585
Ag2 0.3333 0.6667 0.4252
Ag3 0.6667 0.3333 0.0918
Pd1 0.0000 0.0000 0.5944
Pd2 0.3333 0.6667 0.2610
Pd3 0.6667 0.3333 0.9277

* M_tot: 0.00 μB/f.u.
* volume: 457.0 Å³ per cell
* SG: R3m

The data favor P; the next most stable structure lies 43 meV/atom above it.

P | Below is a geometry-optimized Ba2AgPd structure, with properties calculated at the PBE level.

a = 3.9855 Å, b = 3.9855 Å, c = 8.1468 Å
α = 90.00°, β = 90.00°, γ = 90.00°
Fractional positions:
Ba1 0.0000 0.0000 0.2327
Ba2 0.0000 0.0000 0.7673
Ag1 0.5000 0.5000 0.5000
Pd1 0.5000 0.5000 0.0000

* M_tot: 0.00 μB/f.u.
* volume: 129.4 Å³ per cell
* SG: P4/mmm

Q | Below is a geometry-optimized Ba2AgPd structure, with properties calculated at the PBE level.

a = 3.5662 Å, b = 6.1263 Å, c = 12.0275 Å
α = 90.00°, β = 90.00°, γ = 90.00°
Fractional positions:
Ba1 0.0000 0.0000 0.2359
Ba2 0.0000 0.0000 0.7641
Ba3 0.5000 0.5000 0.2641
Ba4 0.5000 0.5000 0.7359
Ag1 0.0000 0.0000 0.5000
Ag2 0.5000 0.5000 0.0000
Pd1 0.0000 0.0000 0.0000
Pd2 0.5000 0.5000 0.5000

* M_tot: 0.00 μB/f.u.
* volume: 262.8 Å³ per cell
* SG: Immm

R | Below is a geometry-optimized Ba2AgPd structure, with properties calculated at the PBE level.

a = 4.6856 Å, b = 4.6856 Å, c = 23.9606 Å
α = 90.00°, β = 90.00°, γ = 120.00°
Fractional positions:
Ba1 0.0000 0.0000 0.2415
Ba2 0.0000 0.0000 0.7585
Ba3 0.3333 0.6667 0.4252
Ba4 0.3333 0.6667 0.9081
Ba5 0.6667 0.3333 0.0919
Ba6 0.6667 0.3333 0.5748
Ag1 0.0000 0.0000 0.0000
Ag2 0.3333 0.6667 0.6667
Ag3 0.6667 0.3333 0.3333
Pd1 0.0000 0.0000 0.5000
Pd2 0.3333 0.6667 0.1667
Pd3 0.6667 0.3333 0.8333

* M_tot: 0.00 μB/f.u.
* volume: 455.6 Å³ per cell
* SG: R-3m

The data favor P; the next most stable structure lies 42 meV/atom above it.

P | Below is a geometry-optimized BaAg2Pd2 structure, with properties calculated at the PBE level.

a = 4.3181 Å, b = 4.3181 Å, c = 12.3901 Å
α = 90.00°, β = 90.00°, γ = 90.00°
Fractional positions:
Ba1 0.0000 0.0000 0.0000
Ba2 0.5000 0.5000 0.5000
Ag1 0.0000 0.5000 0.2500
Ag2 0.0000 0.5000 0.7500
Ag3 0.5000 0.0000 0.2500
Ag4 0.5000 0.0000 0.7500
Pd1 0.0000 0.0000 0.3929
Pd2 0.0000 0.0000 0.6071
Pd3 0.5000 0.5000 0.1071
Pd4 0.5000 0.5000 0.8929

* M_tot: 0.00 μB/f.u.
* volume: 231.0 Å³ per cell
* SG: I4/mmm

Q | Below is a geometry-optimized BaAg2Pd2 structure, with properties calculated at the PBE level.

a = 8.0231 Å, b = 8.0231 Å, c = 3.3006 Å
α = 90.00°, β = 90.00°, γ = 90.00°
Fractional positions:
Ba1 0.0000 0.0000 0.0000
Ba2 0.5000 0.5000 0.0000
Ag1 0.1554 0.3446 0.5000
Ag2 0.3446 0.8446 0.5000
Ag3 0.6554 0.1554 0.5000
Ag4 0.8446 0.6554 0.5000
Pd1 0.1348 0.6348 0.0000
Pd2 0.3652 0.1348 0.0000
Pd3 0.6348 0.8652 0.0000
Pd4 0.8652 0.3652 0.0000

* M_tot: 0.00 μB/f.u.
* volume: 212.5 Å³ per cell
* SG: P4/mbm

R | Below is a geometry-optimized BaAg2Pd2 structure, with properties calculated at the PBE level.

a = 8.1357 Å, b = 8.1357 Å, c = 3.2270 Å
α = 90.00°, β = 90.00°, γ = 90.00°
Fractional positions:
Ba1 0.0000 0.0000 0.0000
Ba2 0.5000 0.5000 0.0000
Ag1 0.1220 0.3780 0.0000
Ag2 0.3780 0.8780 0.0000
Ag3 0.6220 0.1220 0.0000
Ag4 0.8780 0.6220 0.0000
Pd1 0.1715 0.6715 0.5000
Pd2 0.3285 0.1715 0.5000
Pd3 0.6715 0.8285 0.5000
Pd4 0.8285 0.3285 0.5000

* M_tot: 0.00 μB/f.u.
* volume: 213.6 Å³ per cell
* SG: P4/mbm

The data favor P; the next most stable structure lies 89 meV/atom above it.

P | Below is a geometry-optimized BaAgPd structure, with properties calculated at the PBE level.

a = 4.7191 Å, b = 5.3175 Å, c = 13.7220 Å
α = 90.00°, β = 90.00°, γ = 90.00°
Fractional positions:
Ba1 0.0000 0.2500 0.1214
Ba2 0.0000 0.7500 0.8786
Ba3 0.5000 0.2500 0.3786
Ba4 0.5000 0.7500 0.6214
Ag1 0.0000 0.2500 0.6832
Ag2 0.0000 0.7500 0.3168
Ag3 0.5000 0.2500 0.8168
Ag4 0.5000 0.7500 0.1832
Pd1 0.0000 0.0000 0.5000
Pd2 0.0000 0.5000 0.5000
Pd3 0.5000 0.0000 0.0000
Pd4 0.5000 0.5000 0.0000

* M_tot: 0.00 μB/f.u.
* volume: 344.3 Å³ per cell
* SG: Imma

Q | Below is a geometry-optimized BaAgPd structure, with properties calculated at the PBE level.

a = 4.7502 Å, b = 6.0071 Å, c = 6.5352 Å
α = 104.99°, β = 111.30°, γ = 90.11°
Fractional positions:
Ba1 0.1144 0.2997 0.2294
Ba2 0.8856 0.7003 0.7706
Ag1 0.4032 0.2795 0.8060
Ag2 0.5968 0.7205 0.1940
Pd1 0.2151 0.8728 0.4302
Pd2 0.7849 0.1272 0.5698

* M_tot: 0.00 μB/f.u.
* volume: 166.9 Å³ per cell
* SG: P-1

R | Below is a geometry-optimized BaAgPd structure, with properties calculated at the PBE level.

a = 4.7445 Å, b = 4.7445 Å, c = 4.4062 Å
α = 90.00°, β = 90.00°, γ = 120.00°
Fractional positions:
Ba1 0.0000 0.0000 0.0000
Ag1 0.6667 0.3333 0.5000
Pd1 0.3333 0.6667 0.5000

* M_tot: 0.00 μB/f.u.
* volume: 85.9 Å³ per cell
* SG: P-6m2

The data favor R; the next most stable structure lies 7 meV/atom above it.

P | Below is a geometry-optimized Ba8Ag2Pd structure, with properties calculated at the PBE level.

a = 8.8947 Å, b = 8.8947 Å, c = 7.9392 Å
α = 104.87°, β = 104.87°, γ = 71.50°
Fractional positions:
Ba1 0.0790 0.0790 0.2748
Ba2 0.1499 0.5597 0.2578
Ba3 0.3695 0.3695 0.7540
Ba4 0.4403 0.8501 0.7422
Ba5 0.5597 0.1499 0.2578
Ba6 0.6305 0.6305 0.2460
Ba7 0.8501 0.4403 0.7422
Ba8 0.9210 0.9210 0.7252
Ag1 0.1838 0.1838 0.9478
Ag2 0.8162 0.8162 0.0522
Pd1 0.5000 0.5000 0.5000

* M_tot: 0.00 μB/f.u.
* volume: 565.1 Å³ per cell
* SG: C2/m

Q | Below is a geometry-optimized Ba8Ag2Pd structure, with properties calculated at the PBE level.

a = 11.2022 Å, b = 11.2022 Å, c = 7.9943 Å
α = 102.95°, β = 102.95°, γ = 30.17°
Fractional positions:
Ba1 0.0364 0.0364 0.3057
Ba2 0.2131 0.2131 0.8282
Ba3 0.3409 0.3409 0.5306
Ba4 0.4131 0.4131 0.0868
Ba5 0.5869 0.5869 0.9132
Ba6 0.6591 0.6591 0.4694
Ba7 0.7869 0.7869 0.1718
Ba8 0.9636 0.9636 0.6943
Ag1 0.1918 0.1918 0.2369
Ag2 0.8082 0.8082 0.7631
Pd1 0.5000 0.5000 0.5000

* M_tot: 0.00 μB/f.u.
* volume: 490.4 Å³ per cell
* SG: C2/m

The data favor P; the next most stable structure lies 49 meV/atom above it.

P | Below is a geometry-optimized Ba3AgPd structure, with properties calculated at the PBE level.

a = 9.4481 Å, b = 4.6283 Å, c = 9.9859 Å
α = 90.00°, β = 101.09°, γ = 90.00°
Fractional positions:
Ba1 0.0731 0.2500 0.3315
Ba2 0.2783 0.2500 0.9750
Ba3 0.3866 0.7500 0.6283
Ba4 0.6134 0.2500 0.3717
Ba5 0.7217 0.7500 0.0250
Ba6 0.9269 0.7500 0.6685
Ag1 0.3400 0.7500 0.2472
Ag2 0.6600 0.2500 0.7528
Pd1 0.1631 0.2500 0.6584
Pd2 0.8369 0.7500 0.3416

* M_tot: 0.00 μB/f.u.
* volume: 428.5 Å³ per cell
* SG: P2_1/m

Q | Below is a geometry-optimized Ba3AgPd structure, with properties calculated at the PBE level.

a = 6.1620 Å, b = 6.1620 Å, c = 6.1620 Å
α = 90.00°, β = 90.00°, γ = 90.00°
Fractional positions:
Ba1 0.0000 0.0000 0.5000
Ba2 0.0000 0.5000 0.0000
Ba3 0.5000 0.0000 0.0000
Ag1 0.5000 0.5000 0.5000
Pd1 0.0000 0.0000 0.0000

* M_tot: 0.00 μB/f.u.
* volume: 234.0 Å³ per cell
* SG: Pm-3m

The data favor P; the next most stable structure lies 151 meV/atom above it.

P | Below is a geometry-optimized Ba7Ag2Pd2 structure, with properties calculated at the PBE level.

a = 10.7004 Å, b = 10.7004 Å, c = 10.7004 Å
α = 155.16°, β = 67.77°, γ = 118.09°
Fractional positions:
Ba1 0.0000 0.0000 0.0000
Ba2 0.2879 0.4060 0.8819
Ba3 0.2972 0.6098 0.6874
Ba4 0.5241 0.4060 0.1181
Ba5 0.6088 0.2480 0.3608
Ba6 0.8873 0.2480 0.6392
Ba7 0.9224 0.6098 0.3126
Ag1 0.2347 0.7347 0.5000
Ag2 0.6659 0.6659 0.0000
Pd1 0.1500 0.9081 0.2419
Pd2 0.6663 0.9081 0.7581

* M_tot: 0.00 μB/f.u.
* volume: 450.1 Å³ per cell
* SG: Imm2

Q | Below is a geometry-optimized Ba7Ag2Pd2 structure, with properties calculated at the PBE level.

a = 7.8463 Å, b = 7.8463 Å, c = 7.9894 Å
α = 90.00°, β = 90.00°, γ = 107.73°
Fractional positions:
Ba1 0.0000 0.0000 0.0000
Ba2 0.0000 0.5000 0.2616
Ba3 0.0000 0.5000 0.7384
Ba4 0.5000 0.0000 0.2616
Ba5 0.5000 0.0000 0.7384
Ba6 0.5000 0.5000 0.2467
Ba7 0.5000 0.5000 0.7533
Ag1 0.1678 0.1678 0.5000
Ag2 0.8322 0.8322 0.5000
Pd1 0.2867 0.7133 0.0000
Pd2 0.7133 0.2867 0.0000

* M_tot: 0.00 μB/f.u.
* volume: 468.5 Å³ per cell
* SG: Cmmm

The data favor P; the next most stable structure lies 57 meV/atom above it.

P | Below is a geometry-optimized Ba6AgPd2 structure, with properties calculated at the PBE level.

a = 8.2736 Å, b = 8.2736 Å, c = 10.5708 Å
α = 115.62°, β = 115.62°, γ = 43.95°
Fractional positions:
Ba1 0.0170 0.0170 0.2052
Ba2 0.3007 0.3007 0.9097
Ba3 0.3482 0.3482 0.4171
Ba4 0.6518 0.6518 0.5829
Ba5 0.6993 0.6993 0.0903
Ba6 0.9830 0.9830 0.7948
Ag1 0.0000 0.0000 0.5000
Pd1 0.1784 0.1784 0.0965
Pd2 0.8216 0.8216 0.9035

* M_tot: 0.00 μB/f.u.
* volume: 444.2 Å³ per cell
* SG: C2/m

Q | Below is a geometry-optimized Ba6AgPd2 structure, with properties calculated at the PBE level.

a = 8.0515 Å, b = 8.0515 Å, c = 7.6803 Å
α = 90.00°, β = 90.00°, γ = 120.00°
Fractional positions:
Ba1 0.0000 0.3429 0.2348
Ba2 0.0000 0.6571 0.7652
Ba3 0.3429 0.0000 0.2348
Ba4 0.3429 0.3429 0.7652
Ba5 0.6571 0.0000 0.7652
Ba6 0.6571 0.6571 0.2348
Ag1 0.0000 0.0000 0.5000
Pd1 0.3333 0.6667 0.0000
Pd2 0.6667 0.3333 0.0000

* M_tot: 0.00 μB/f.u.
* volume: 431.2 Å³ per cell
* SG: P-31m

The data favor Q; the next most stable structure lies 49 meV/atom above it.

P | Below is a geometry-optimized BaAg4Pd structure, with properties calculated at the PBE level.

a = 5.7151 Å, b = 5.7151 Å, c = 5.7151 Å
α = 60.00°, β = 60.00°, γ = 60.00°
Fractional positions:
Ba1 0.0000 0.0000 0.0000
Ag1 0.1283 0.6239 0.6239
Ag2 0.6239 0.1283 0.6239
Ag3 0.6239 0.6239 0.1283
Ag4 0.6239 0.6239 0.6239
Pd1 0.2500 0.2500 0.2500

* M_tot: 0.00 μB/f.u.
* volume: 132.0 Å³ per cell
* SG: F-43m

Q | Below is a geometry-optimized BaAg4Pd structure, with properties calculated at the PBE level.

a = 8.9064 Å, b = 5.9399 Å, c = 5.8822 Å
α = 90.00°, β = 91.34°, γ = 90.00°
Fractional positions:
Ba1 0.0000 0.0000 0.0000
Ba2 0.5000 0.5000 0.0000
Ag1 0.0021 0.5000 0.7377
Ag2 0.2500 0.2500 0.5000
Ag3 0.2500 0.7500 0.5000
Ag4 0.4979 0.0000 0.2623
Ag5 0.5021 0.0000 0.7377
Ag6 0.7500 0.2500 0.5000
Ag7 0.7500 0.7500 0.5000
Ag8 0.9979 0.5000 0.2623
Pd1 0.0000 0.0000 0.5000
Pd2 0.5000 0.5000 0.5000

* M_tot: 0.00 μB/f.u.
* volume: 311.1 Å³ per cell
* SG: C2/m

The data favor P; the next most stable structure lies 72 meV/atom above it.

P | Below is a geometry-optimized Ba4AgPd2 structure, with properties calculated at the PBE level.

a = 8.1891 Å, b = 8.1891 Å, c = 8.8147 Å
α = 105.14°, β = 105.14°, γ = 74.14°
Fractional positions:
Ba1 0.0000 0.0000 0.0000
Ba2 0.0150 0.5371 0.1311
Ba3 0.5009 0.5009 0.4847
Ba4 0.5114 0.5114 0.0040
Ba5 0.5235 0.9944 0.6229
Ba6 0.5371 0.0150 0.1311
Ba7 0.9944 0.5235 0.6229
Ba8 0.9940 0.9940 0.4819
Ag1 0.2093 0.2093 0.3484
Ag2 0.2180 0.2180 0.8500
Pd1 0.3069 0.8128 0.2748
Pd2 0.7125 0.7125 0.3483
Pd3 0.7235 0.7235 0.8566
Pd4 0.8128 0.3069 0.2748

* M_tot: 0.00 μB/f.u.
* volume: 537.3 Å³ per cell
* SG: Cm

Q | Below is a geometry-optimized Ba4AgPd2 structure, with properties calculated at the PBE level.

a = 9.1895 Å, b = 9.1895 Å, c = 9.1895 Å
α = 117.87°, β = 108.08°, γ = 102.83°
Fractional positions:
Ba1 0.2184 0.2527 0.5343
Ba2 0.2184 0.6841 0.9657
Ba3 0.2880 0.2341 0.0539
Ba4 0.3198 0.7659 0.5539
Ba5 0.6802 0.2341 0.4461
Ba6 0.7120 0.7659 0.9461
Ba7 0.7816 0.3159 0.0343
Ba8 0.7816 0.7473 0.4657
Ag1 0.0289 0.7789 0.2500
Ag2 0.9711 0.2211 0.7500
Pd1 0.0000 0.5000 0.5000
Pd2 0.5000 0.0000 0.0000
Pd3 0.5000 0.5000 0.0000
Pd4 0.5000 0.5000 0.5000

* M_tot: 0.00 μB/f.u.
* volume: 586.5 Å³ per cell
* SG: Imma

The data favor P; the next most stable structure lies 51 meV/atom above it.